Model one:
First-principles (PBE-GGA) data for a geometry-optimized Ac7In2Pt2 structure, as listed in Alexandria via LeMat-Bulk.

a = 7.548 Å, b = 7.548 Å, c = 7.693 Å
α = 90.00°, β = 90.00°, γ = 108.31°
Positions (direct):
1 Ac 0.000 0.000 0.000
2 Ac 0.000 0.500 0.255
3 Ac 0.000 0.500 0.745
4 Ac 0.500 0.000 0.255
5 Ac 0.500 0.000 0.745
6 Ac 0.500 0.500 0.248
7 Ac 0.500 0.500 0.752
8 In 0.164 0.164 0.500
9 In 0.836 0.836 0.500
10 Pt 0.291 0.709 0.000
11 Pt 0.709 0.291 0.000

Properties
The density of states at the Fermi level comes out at 10.8 states/eV/cell.


Model two:
First-principles (PBE-GGA) data for a geometry-optimized Ac7In2Pt2 structure, as listed in Alexandria via LeMat-Bulk.

a = 10.474 Å, b = 10.474 Å, c = 10.474 Å
α = 156.26°, β = 66.17°, γ = 119.25°
Positions (direct):
1 Ac 0.000 0.000 0.000
2 Ac 0.074 0.398 0.676
3 Ac 0.173 0.788 0.384
4 Ac 0.404 0.788 0.616
5 Ac 0.518 0.620 0.898
6 Ac 0.722 0.398 0.324
7 Ac 0.722 0.620 0.102
8 In 0.354 0.115 0.240
9 In 0.875 0.115 0.760
10 Pt 0.363 0.363 0.000
11 Pt 0.785 0.285 0.500

Properties
The density of states at the Fermi level comes out at 10.5 states/eV/cell.


Q: Which of them is the most stable? A: model two.


Model one:
First-principles (PBE-GGA) data for a geometry-optimized AcIn3Pt structure, as listed in Alexandria via LeMat-Bulk.

a = 4.531 Å, b = 4.531 Å, c = 6.403 Å
α = 90.00°, β = 90.00°, γ = 90.00°
Positions (direct):
1 Ac 0.000 0.000 0.000
2 In 0.000 0.500 0.450
3 In 0.500 0.000 0.450
4 In 0.500 0.500 0.764
5 Pt 0.500 0.500 0.179

Properties
The density of states at the Fermi level comes out at 2.1 states/eV/cell.


Model two:
First-principles (PBE-GGA) data for a geometry-optimized AcIn3Pt structure, as listed in Alexandria via LeMat-Bulk.

a = 9.273 Å, b = 4.608 Å, c = 12.083 Å
α = 90.00°, β = 90.00°, γ = 90.00°
Positions (direct):
1 Ac 0.192 0.250 0.005
2 Ac 0.308 0.750 0.505
3 Ac 0.692 0.250 0.495
4 Ac 0.808 0.750 0.995
5 In 0.060 0.250 0.588
6 In 0.108 0.750 0.799
7 In 0.142 0.750 0.214
8 In 0.358 0.250 0.714
9 In 0.392 0.250 0.299
10 In 0.440 0.750 0.088
11 In 0.560 0.250 0.912
12 In 0.608 0.750 0.701
13 In 0.642 0.750 0.286
14 In 0.858 0.250 0.786
15 In 0.892 0.250 0.201
16 In 0.940 0.750 0.412
17 Pt 0.105 0.250 0.358
18 Pt 0.395 0.750 0.858
19 Pt 0.605 0.250 0.142
20 Pt 0.895 0.750 0.642

Properties
The density of states at the Fermi level comes out at 10.2 states/eV/cell.


Q: Which of them is the most stable? A: model two.


Model one:
First-principles (PBE-GGA) data for a geometry-optimized Ac2PuIn structure, as listed in Alexandria via LeMat-Bulk.

a = 3.973 Å, b = 3.973 Å, c = 9.107 Å
α = 90.00°, β = 90.00°, γ = 90.00°
Positions (direct):
1 Ac 0.000 0.000 0.234
2 Ac 0.000 0.000 0.766
3 Pu 0.500 0.500 0.500
4 In 0.500 0.500 0.000

Properties
The density of states at the Fermi level comes out at 9.5 states/eV/cell.


Model two:
First-principles (PBE-GGA) data for a geometry-optimized Ac2PuIn structure, as listed in Alexandria via LeMat-Bulk.

a = 5.820 Å, b = 5.820 Å, c = 5.820 Å
α = 60.00°, β = 60.00°, γ = 60.00°
Positions (direct):
1 Ac 0.250 0.250 0.250
2 Ac 0.750 0.750 0.750
3 Pu 0.000 0.000 0.000
4 In 0.500 0.500 0.500

Properties
The density of states at the Fermi level comes out at 16.8 states/eV/cell.


Model three:
First-principles (PBE-GGA) data for a geometry-optimized Ac2PuIn structure, as listed in Alexandria via LeMat-Bulk.

a = 12.708 Å, b = 12.708 Å, c = 12.708 Å
α = 16.81°, β = 16.81°, γ = 16.81°
Positions (direct):
1 Ac 0.093 0.093 0.093
2 Ac 0.907 0.907 0.907
3 Pu 0.000 0.000 0.000
4 In 0.500 0.500 0.500

Properties
The density of states at the Fermi level comes out at 13.4 states/eV/cell.


Model four:
First-principles (PBE-GGA) data for a geometry-optimized Ac2PuIn structure, as listed in Alexandria via LeMat-Bulk.

a = 5.354 Å, b = 5.354 Å, c = 4.816 Å
α = 90.00°, β = 90.00°, γ = 90.00°
Positions (direct):
1 Ac 0.000 0.500 0.000
2 Ac 0.500 0.000 0.000
3 Pu 0.000 0.000 0.500
4 In 0.500 0.500 0.500

Properties
The density of states at the Fermi level comes out at 13.0 states/eV/cell.


Q: Which of them is the most stable? A: model four.


Model one:
First-principles (PBE-GGA) data for a geometry-optimized AcPuIn structure, as listed in Alexandria via LeMat-Bulk.

a = 3.644 Å, b = 3.644 Å, c = 13.866 Å
α = 90.43°, β = 90.43°, γ = 75.15°
Positions (direct):
1 Ac 0.250 0.250 0.240
2 Ac 0.750 0.750 0.760
3 Pu 0.310 0.310 0.960
4 Pu 0.690 0.690 0.040
5 In 0.247 0.247 0.571
6 In 0.753 0.753 0.429

Properties
The density of states at the Fermi level comes out at 10.6 states/eV/cell.


Model two:
First-principles (PBE-GGA) data for a geometry-optimized AcPuIn structure, as listed in Alexandria via LeMat-Bulk.

a = 5.507 Å, b = 5.507 Å, c = 3.663 Å
α = 90.00°, β = 90.00°, γ = 120.00°
Positions (direct):
1 Ac 0.000 0.000 0.000
2 Pu 0.333 0.667 0.421
3 In 0.667 0.333 0.595

Properties
The density of states at the Fermi level comes out at 9.0 states/eV/cell.


Q: Which of them is the most stable? A: model two.


Model one:
First-principles (PBE-GGA) data for a geometry-optimized Ac2InRh2 structure, as listed in Alexandria via LeMat-Bulk.

a = 7.542 Å, b = 7.542 Å, c = 7.542 Å
α = 116.93°, β = 83.21°, γ = 131.72°
Positions (direct):
1 Ac 0.151 0.152 0.304
2 Ac 0.349 0.652 0.001
3 Ac 0.651 0.348 0.999
4 Ac 0.849 0.848 0.696
5 In 0.250 0.750 0.500
6 In 0.750 0.250 0.500
7 Rh 0.104 0.758 0.862
8 Rh 0.396 0.258 0.654
9 Rh 0.604 0.742 0.346
10 Rh 0.896 0.242 0.138

Properties
The density of states at the Fermi level comes out at 7.3 states/eV/cell.


Model two:
First-principles (PBE-GGA) data for a geometry-optimized Ac2InRh2 structure, as listed in Alexandria via LeMat-Bulk.

a = 7.875 Å, b = 7.875 Å, c = 4.142 Å
α = 90.00°, β = 90.00°, γ = 90.00°
Positions (direct):
1 Ac 0.171 0.329 0.000
2 Ac 0.329 0.829 0.000
3 Ac 0.671 0.171 0.000
4 Ac 0.829 0.671 0.000
5 In 0.000 0.000 0.500
6 In 0.500 0.500 0.500
7 Rh 0.132 0.632 0.500
8 Rh 0.368 0.132 0.500
9 Rh 0.632 0.868 0.500
10 Rh 0.868 0.368 0.500

Properties
The density of states at the Fermi level comes out at 6.7 states/eV/cell.


Q: Which of them is the most stable? A: model two.


Model one:
First-principles (PBE-GGA) data for a geometry-optimized Ac4InRh structure, as listed in Alexandria via LeMat-Bulk.

a = 9.418 Å, b = 9.418 Å, c = 7.440 Å
α = 107.44°, β = 107.44°, γ = 117.23°
Positions (direct):
1 Ac 0.061 0.646 0.856
2 Ac 0.197 0.280 0.723
3 Ac 0.280 0.197 0.223
4 Ac 0.354 0.939 0.644
5 Ac 0.646 0.061 0.356
6 Ac 0.720 0.803 0.777
7 Ac 0.803 0.720 0.277
8 Ac 0.939 0.354 0.144
9 In 0.378 0.622 0.250
10 In 0.622 0.378 0.750
11 Rh 0.073 0.927 0.750
12 Rh 0.927 0.073 0.250

Properties
The density of states at the Fermi level comes out at 12.1 states/eV/cell.


Model two:
First-principles (PBE-GGA) data for a geometry-optimized Ac4InRh structure, as listed in Alexandria via LeMat-Bulk.

a = 10.561 Å, b = 10.561 Å, c = 10.561 Å
α = 60.00°, β = 60.00°, γ = 60.00°
Positions (direct):
1 Ac 0.187 0.187 0.813
2 Ac 0.187 0.813 0.187
3 Ac 0.187 0.813 0.813
4 Ac 0.403 0.403 0.403
5 Ac 0.403 0.403 0.792
6 Ac 0.403 0.792 0.403
7 Ac 0.558 0.558 0.942
8 Ac 0.558 0.942 0.558
9 Ac 0.558 0.942 0.942
10 Ac 0.792 0.403 0.403
11 Ac 0.813 0.187 0.187
12 Ac 0.813 0.187 0.813
13 Ac 0.813 0.813 0.187
14 Ac 0.942 0.558 0.558
15 Ac 0.942 0.558 0.942
16 Ac 0.942 0.942 0.558
17 In 0.172 0.172 0.172
18 In 0.172 0.172 0.483
19 In 0.172 0.483 0.172
20 In 0.483 0.172 0.172
21 Rh 0.175 0.608 0.608
22 Rh 0.608 0.175 0.608
23 Rh 0.608 0.608 0.175
24 Rh 0.608 0.608 0.608

Properties
The density of states at the Fermi level comes out at 24.0 states/eV/cell.


Q: Which of them is the most stable? A: model two.


Model one:
First-principles (PBE-GGA) data for a geometry-optimized Ac8In2Rh3 structure, as listed in Alexandria via LeMat-Bulk.

a = 9.397 Å, b = 9.397 Å, c = 7.553 Å
α = 105.86°, β = 105.86°, γ = 54.64°
Positions (direct):
1 Ac 0.106 0.106 0.905
2 Ac 0.138 0.658 0.603
3 Ac 0.342 0.862 0.397
4 Ac 0.384 0.384 0.044
5 Ac 0.616 0.616 0.956
6 Ac 0.658 0.138 0.603
7 Ac 0.862 0.342 0.397
8 Ac 0.894 0.894 0.095
9 In 0.259 0.259 0.331
10 In 0.741 0.741 0.669
11 Rh 0.000 0.000 0.500
12 Rh 0.253 0.747 0.000
13 Rh 0.747 0.253 0.000

Properties
The density of states at the Fermi level comes out at 12.0 states/eV/cell.


Model two:
First-principles (PBE-GGA) data for a geometry-optimized Ac8In2Rh3 structure, as listed in Alexandria via LeMat-Bulk.

a = 9.621 Å, b = 9.621 Å, c = 5.385 Å
α = 90.00°, β = 90.00°, γ = 111.90°
Positions (direct):
1 Ac 0.111 0.889 0.000
2 Ac 0.131 0.356 0.500
3 Ac 0.356 0.131 0.500
4 Ac 0.386 0.614 0.000
5 Ac 0.614 0.386 0.000
6 Ac 0.644 0.869 0.500
7 Ac 0.869 0.644 0.500
8 Ac 0.889 0.111 0.000
9 In 0.255 0.745 0.500
10 In 0.745 0.255 0.500
11 Rh 0.000 0.000 0.500
12 Rh 0.264 0.264 0.000
13 Rh 0.736 0.736 0.000

Properties
The density of states at the Fermi level comes out at 12.3 states/eV/cell.


Q: Which of them is the most stable? A: model one.


Model one:
First-principles (PBE-GGA) data for a geometry-optimized AcIn3Rh structure, as listed in Alexandria via LeMat-Bulk.

a = 9.300 Å, b = 4.582 Å, c = 11.939 Å
α = 90.00°, β = 90.00°, γ = 90.00°
Positions (direct):
1 Ac 0.196 0.250 0.003
2 Ac 0.304 0.750 0.503
3 Ac 0.696 0.250 0.497
4 Ac 0.804 0.750 0.997
5 In 0.054 0.250 0.586
6 In 0.108 0.750 0.786
7 In 0.143 0.750 0.214
8 In 0.357 0.250 0.714
9 In 0.392 0.250 0.286
10 In 0.446 0.750 0.086
11 In 0.554 0.250 0.914
12 In 0.608 0.750 0.714
13 In 0.643 0.750 0.286
14 In 0.857 0.250 0.786
15 In 0.892 0.250 0.214
16 In 0.946 0.750 0.414
17 Rh 0.116 0.250 0.357
18 Rh 0.384 0.750 0.857
19 Rh 0.616 0.250 0.143
20 Rh 0.884 0.750 0.643

Properties
The density of states at the Fermi level comes out at 9.8 states/eV/cell.


Model two:
First-principles (PBE-GGA) data for a geometry-optimized AcIn3Rh structure, as listed in Alexandria via LeMat-Bulk.

a = 5.164 Å, b = 5.164 Å, c = 5.164 Å
α = 90.00°, β = 90.00°, γ = 90.00°
Positions (direct):
1 Ac 0.000 0.000 0.000
2 In 0.000 0.500 0.500
3 In 0.500 0.000 0.500
4 In 0.500 0.500 0.000
5 Rh 0.500 0.500 0.500

Properties
The density of states at the Fermi level comes out at 3.3 states/eV/cell.


Q: Which of them is the most stable? A: model one.


Model one:
First-principles (PBE-GGA) data for a geometry-optimized AcIn4Rh2 structure, as listed in Alexandria via LeMat-Bulk.

a = 18.718 Å, b = 4.648 Å, c = 7.355 Å
α = 90.00°, β = 90.00°, γ = 90.00°
Positions (direct):
1 Ac 0.139 0.250 0.032
2 Ac 0.361 0.750 0.532
3 Ac 0.639 0.250 0.468
4 Ac 0.861 0.750 0.968
5 In 0.034 0.750 0.839
6 In 0.071 0.250 0.504
7 In 0.186 0.750 0.337
8 In 0.194 0.750 0.736
9 In 0.306 0.250 0.236
10 In 0.314 0.250 0.837
11 In 0.429 0.750 0.004
12 In 0.466 0.250 0.339
13 In 0.534 0.750 0.661
14 In 0.571 0.250 0.996
15 In 0.686 0.750 0.163
16 In 0.694 0.750 0.764
17 In 0.806 0.250 0.264
18 In 0.814 0.250 0.663
19 In 0.929 0.750 0.496
20 In 0.966 0.250 0.161
21 Rh 0.040 0.750 0.248
22 Rh 0.218 0.250 0.539
23 Rh 0.282 0.750 0.039
24 Rh 0.460 0.250 0.748
25 Rh 0.540 0.750 0.252
26 Rh 0.718 0.250 0.961
27 Rh 0.782 0.750 0.461
28 Rh 0.960 0.250 0.752

Properties
The density of states at the Fermi level comes out at 18.1 states/eV/cell.


Model two:
First-principles (PBE-GGA) data for a geometry-optimized AcIn4Rh2 structure, as listed in Alexandria via LeMat-Bulk.

a = 8.799 Å, b = 8.799 Å, c = 4.147 Å
α = 90.00°, β = 90.00°, γ = 90.00°
Positions (direct):
1 Ac 0.000 0.000 0.000
2 Ac 0.500 0.500 0.500
3 In 0.090 0.329 0.500
4 In 0.171 0.590 0.000
5 In 0.329 0.090 0.500
6 In 0.410 0.829 0.000
7 In 0.590 0.171 0.000
8 In 0.671 0.910 0.500
9 In 0.829 0.410 0.000
10 In 0.910 0.671 0.500
11 Rh 0.196 0.804 0.500
12 Rh 0.304 0.304 0.000
13 Rh 0.696 0.696 0.000
14 Rh 0.804 0.196 0.500

Properties
The density of states at the Fermi level comes out at 7.7 states/eV/cell.


Q: Which of them is the most stable? A: model one.